Entry 1:
CsDyPO | PBE | relaxed

Magnetic moment (Bohr magnetons per cell): 0.0
DFT total energy (eV/atom): -5.411
Calculated density (Mg/m³): 5.0

a b c (Å): 3.5002 8.1787 7.9920
angles (deg): 90.00 90.00 90.00
Sites, in units of the cell vectors:
1 Cs 0.0000 0.9465 0.0979
2 Cs 0.0000 0.0535 0.5979
3 Dy 0.5000 0.6128 0.4625
4 Dy 0.5000 0.3872 0.9625
5 O 0.0000 0.7351 0.3878
6 O 0.0000 0.2649 0.8878
7 P 0.5000 0.3092 0.3057
8 P 0.5000 0.6908 0.8057



Entry 2:
KTl2AuCl6 | PBE | relaxed

DFT total energy (eV/atom): -2.780
Calculated density (Mg/m³): 4.5

a b c (Å): 7.6241 7.6241 7.6241
angles (deg): 60.00 60.00 60.00
Sites, in units of the cell vectors:
1 Au 0.0000 0.0000 0.0000
2 Cl 0.2313 0.7687 0.2313
3 Cl 0.7687 0.7687 0.2313
4 Cl 0.7687 0.2313 0.2313
5 Cl 0.7687 0.2313 0.7687
6 Cl 0.2313 0.2313 0.7687
7 Cl 0.2313 0.7687 0.7687
8 K 0.5000 0.5000 0.5000
9 Tl 0.2500 0.2500 0.2500
10 Tl 0.7500 0.7500 0.7500



Entry 3:
BeAlReMo | PBE | relaxed

Distance to the lowest polymorph of the same formula (eV/f.u.): 0.00
Magnetic moment (Bohr magnetons per cell): 0.0
Calculated density (Mg/m³): 9.7

a b c (Å): 4.2597 4.2597 4.2597
angles (deg): 60.00 60.00 60.00
Sites, in units of the cell vectors:
1 Al 0.5000 0.5000 0.5000
2 Be 0.7500 0.7500 0.7500
3 Mo 0.0000 0.0000 0.0000
4 Re 0.2500 0.2500 0.2500



Entry 4:
SrDyCuSe2S | PBE | relaxed

Magnetic moment (Bohr magnetons per cell): 0.0
DFT total energy (eV/atom): -5.127
Calculated density (Mg/m³): 5.9

a b c (Å): 7.0281 7.0281 10.3189
angles (deg): 90.00 90.00 146.51
Sites, in units of the cell vectors:
1 Cu 0.9739 0.0261 0.2500
2 Cu 0.0261 0.9739 0.7500
3 Dy 0.5000 0.5000 0.0000
4 Dy 0.5000 0.5000 0.5000
5 S 0.5710 0.4290 0.2500
6 S 0.4290 0.5710 0.7500
7 Se 0.8577 0.1423 0.0648
8 Se 0.8577 0.1423 0.4352
9 Se 0.1423 0.8577 0.5648
10 Se 0.1423 0.8577 0.9352
11 Sr 0.2382 0.7618 0.2500
12 Sr 0.7618 0.2382 0.7500



Entry 5:
CdGeO3 | PBE | relaxed

DFT total energy (eV/atom): -5.517
Calculated density (Mg/m³): 5.9

a b c (Å): 5.3995 7.0267 7.0267
angles (deg): 93.17 98.53 81.47
Sites, in units of the cell vectors:
1 Cd 0.2500 0.0960 0.0960
2 Cd 0.7500 0.2914 0.2914
3 Cd 0.2500 0.7086 0.7086
4 Cd 0.7500 0.9040 0.9040
5 Ge 0.2257 0.6150 0.2050
6 Ge 0.7257 0.7950 0.3850
7 Ge 0.2743 0.2050 0.6150
8 Ge 0.7743 0.3850 0.7950
9 O 0.1543 0.7853 0.0269
10 O 0.3713 0.3914 0.1377
11 O 0.6543 0.9731 0.2147
12 O 0.9365 0.5909 0.3001
13 O 0.1287 0.1377 0.3914
14 O 0.4365 0.6999 0.4091
15 O 0.5635 0.3001 0.5909
16 O 0.8713 0.8623 0.6086
17 O 0.0635 0.4091 0.6999
18 O 0.3457 0.0269 0.7853
19 O 0.6287 0.6086 0.8623
20 O 0.8457 0.2147 0.9731



Entry 6:
Tm3ScSn2C2 | PBE | relaxed

Magnetic moment (Bohr magnetons per cell): 0.0
DFT total energy (eV/atom): -6.381
Calculated density (Mg/m³): 8.2

a b c (Å): 3.5186 3.5186 15.4254
angles (deg): 90.00 90.00 120.00
Sites, in units of the cell vectors:
1 C 0.6667 0.3333 0.0057
2 C 0.6667 0.3333 0.4983
3 Sc 0.0000 0.0000 0.0831
4 Sn 0.3333 0.6667 0.2434
5 Sn 0.0000 0.0000 0.7524
6 Tm 0.0000 0.0000 0.4127
7 Tm 0.3333 0.6667 0.5837
8 Tm 0.3333 0.6667 0.9207



Entry 7:
Lu4Nb2Ge3N3 | PBE | relaxed

Magnetic moment (Bohr magnetons per cell): 0.0
DFT total energy (eV/atom): -7.510
Calculated density (Mg/m³): 9.8

a b c (Å): 5.7524 5.7524 13.9459
angles (deg): 78.24 78.24 60.21
Sites, in units of the cell vectors:
1 Ge 0.4186 0.3076 0.2497
2 Ge 0.1381 0.8619 0.2500
3 Ge 0.6924 0.5814 0.2503
4 Ge 0.3076 0.4186 0.7497
5 Ge 0.8619 0.1381 0.7500
6 Ge 0.5814 0.6924 0.7503
7 Lu 0.1337 0.3006 0.0976
8 Lu 0.8013 0.9666 0.0976
9 Lu 0.0334 0.1987 0.4024
10 Lu 0.6994 0.8663 0.4024
11 Lu 0.3006 0.1337 0.5976
12 Lu 0.9666 0.8013 0.5976
13 Lu 0.1987 0.0334 0.9024
14 Lu 0.8663 0.6994 0.9024
15 N 0.5000 0.0000 0.0000
16 N 0.8408 0.3295 0.0000
17 N 0.1592 0.6705 0.0000
18 N 0.6705 0.1592 0.4999
19 N 0.0000 0.5000 0.5000
20 N 0.3295 0.8408 0.5001
21 Nb 0.4726 0.6373 0.0806
22 Nb 0.3627 0.5274 0.4194
23 Nb 0.6373 0.4726 0.5806
24 Nb 0.5274 0.3628 0.9194



Entry 8:
NaCuPdSe3 | PBE | relaxed

Distance to the lowest polymorph of the same formula (eV/f.u.): 0.08
Calculated density (Mg/m³): 5.9

a b c (Å): 10.1703 3.8288 12.4532
angles (deg): 90.00 90.00 90.00
Sites, in units of the cell vectors:
1 Cu 0.2453 0.2500 0.1977
2 Cu 0.7453 0.2500 0.3023
3 Cu 0.2547 0.7500 0.6977
4 Cu 0.7547 0.7500 0.8023
5 Na 0.2472 0.7500 0.0018
6 Na 0.7472 0.7500 0.4982
7 Na 0.2528 0.2500 0.5018
8 Na 0.7528 0.2500 0.9982
9 Pd 0.4938 0.7500 0.2492
10 Pd 0.9938 0.7500 0.2508
11 Pd 0.0062 0.2500 0.7492
12 Pd 0.5062 0.2500 0.7508
13 Se 0.4592 0.2500 0.1137
14 Se 0.0302 0.2500 0.1153
15 Se 0.7434 0.7500 0.1849
16 Se 0.2434 0.7500 0.3151
17 Se 0.5302 0.2500 0.3847
18 Se 0.9592 0.2500 0.3863
19 Se 0.0408 0.7500 0.6137
20 Se 0.4698 0.7500 0.6153
21 Se 0.7566 0.2500 0.6849
22 Se 0.2566 0.2500 0.8151
23 Se 0.9698 0.7500 0.8847
24 Se 0.5408 0.7500 0.8863



Entry 9:
ZnCu | PBE | relaxed

DFT formation energy (eV/atom): -0.052
Calculated density (Mg/m³): 8.4

a b c (Å): 6.9437 5.2778 4.2701
angles (deg): 90.00 90.00 100.99
Sites, in units of the cell vectors:
1 Cu 0.6628 0.1692 0.0000
2 Cu 0.3360 0.3340 0.0000
3 Cu 0.6657 0.6636 0.0000
4 Cu 0.5565 0.3921 0.5000
5 Cu 0.8862 0.7215 0.5000
6 Cu 0.5594 0.8863 0.5000
7 Zn 0.9927 0.5007 0.0000
8 Zn 0.3480 0.8366 0.0000
9 Zn 0.9915 0.9957 0.0000
10 Zn 0.2306 0.0599 0.5000
11 Zn 0.8742 0.2189 0.5000
12 Zn 0.2295 0.5548 0.5000



Entry 10:
LaBiAu2 | PBE | relaxed

Magnetic moment (Bohr magnetons per cell): 0.0
DFT total energy (eV/atom): -4.564
Calculated density (Mg/m³): 12.3

a b c (Å): 5.2044 7.3976 15.6196
angles (deg): 90.00 90.00 90.00
Sites, in units of the cell vectors:
1 Au 0.5000 0.2500 0.0000
2 Au 0.5000 0.7500 0.0000
3 Au 0.0001 0.2499 0.1667
4 Au 0.0001 0.7501 0.1667
5 Au 0.5001 0.2501 0.3333
6 Au 0.5001 0.7499 0.3333
7 Au 0.0000 0.2500 0.5000
8 Au 0.0000 0.7500 0.5000
9 Au 0.4999 0.2501 0.6667
10 Au 0.4999 0.7499 0.6667
11 Au 0.9999 0.2499 0.8333
12 Au 0.9999 0.7501 0.8333
13 Bi 0.0000 0.0000 0.0000
14 Bi 0.5001 0.5000 0.1666
15 Bi 0.0001 0.0000 0.3334
16 Bi 0.5000 0.5000 0.5000
17 Bi 0.9999 0.0000 0.6666
18 Bi 0.4999 0.5000 0.8334
19 La 0.0000 0.5000 0.0000
20 La 0.5001 0.0000 0.1667
21 La 0.0001 0.5000 0.3333
22 La 0.5000 0.0000 0.5000
23 La 0.9999 0.5000 0.6667
24 La 0.4999 0.0000 0.8333



Entry 11:
GdTaN2O | PBE | relaxed

Magnetic moment (Bohr magnetons per cell): 0.0
DFT total energy (eV/atom): -9.406
Calculated density (Mg/m³): 9.8

a b c (Å): 5.6665 3.9208 5.8293
angles (deg): 90.00 90.00 90.00
Sites, in units of the cell vectors:
1 Gd 0.2500 0.0000 0.2992
2 Gd 0.7500 0.0000 0.7008
3 N 0.0000 0.5000 0.0000
4 N 0.5000 0.5000 0.0000
5 N 0.7500 0.0000 0.3072
6 N 0.2500 0.0000 0.6928
7 O 0.0000 0.5000 0.5000
8 O 0.5000 0.5000 0.5000
9 Ta 0.7500 0.5000 0.2279
10 Ta 0.2500 0.5000 0.7721



Entry 12:
HoCdInSe3 | PBE | relaxed

Distance to the lowest polymorph of the same formula (eV/f.u.): 0.18
Magnetic moment (Bohr magnetons per cell): 0.0
Calculated density (Mg/m³): 6.3

a b c (Å): 4.2318 12.4825 12.5563
angles (deg): 90.00 90.00 90.00
Sites, in units of the cell vectors:
1 Cd 0.7500 0.7561 0.1904
2 Cd 0.7500 0.2561 0.3096
3 Cd 0.2500 0.7439 0.6904
4 Cd 0.2500 0.2439 0.8096
5 Ho 0.2500 0.4696 0.1671
6 Ho 0.2500 0.9696 0.3329
7 Ho 0.7500 0.0304 0.6671
8 Ho 0.7500 0.5304 0.8329
9 In 0.7500 0.1555 0.0141
10 In 0.7500 0.6555 0.4859
11 In 0.2500 0.3445 0.5141
12 In 0.2500 0.8445 0.9859
13 Se 0.7500 0.5885 0.0639
14 Se 0.7500 0.9708 0.1714
15 Se 0.2500 0.2420 0.1748
16 Se 0.2500 0.7420 0.3252
17 Se 0.7500 0.4708 0.3286
18 Se 0.7500 0.0885 0.4361
19 Se 0.2500 0.9115 0.5639
20 Se 0.2500 0.5292 0.6714
21 Se 0.7500 0.2580 0.6748
22 Se 0.7500 0.7580 0.8252
23 Se 0.2500 0.0292 0.8286
24 Se 0.2500 0.4115 0.9361